# TbTiOs2 (PBE-GGA, relaxed)
# DOS(E_F), states/eV/atom: 0.7969
# DFT formation energy, eV/atom: -0.29
data_TbTiOs2
_space_group_name_H-M_alt 'P 4/m m m'
_space_group_IT_number 123
_space_group_name_Hall '-P 4 2'
_cell_length_a 3.204
_cell_length_b 3.204
_cell_length_c 6.752
_cell_angle_alpha 90.00
_cell_angle_beta 90.00
_cell_angle_gamma 90.00
loop_
_atom_site_label
_atom_site_type_symbol
_atom_site_fract_x
_atom_site_fract_y
_atom_site_fract_z
Tb1 Tb 0.000 0.000 0.000
Ti1 Ti 0.000 0.000 0.500
Os1 Os 0.500 0.500 0.283

# Tb8TlOs2 (PBE-GGA, relaxed)
# DOS(E_F), states/eV/atom: 0.8797
# DFT formation energy, eV/atom: -0.18
data_Tb8TlOs2
_space_group_name_H-M_alt 'C 1 2/m 1'
_space_group_IT_number 12
_cell_length_a 8.820
_cell_length_b 13.177
_cell_length_c 5.500
_cell_angle_alpha 90.00
_cell_angle_beta 103.09
_cell_angle_gamma 90.00
loop_
_space_group_symop_operation_xyz
'x,y,z'
'-x,-y,-z'
'-x,y,-z'
'x,-y,z'
'x+1/2,y+1/2,z'
'-x+1/2,-y+1/2,-z'
'-x+1/2,y+1/2,-z'
'x+1/2,-y+1/2,z'
loop_
_atom_site_label
_atom_site_type_symbol
_atom_site_fract_x
_atom_site_fract_y
_atom_site_fract_z
Tb1 Tb 0.000 0.249 0.000
Tb2 Tb 0.116 0.500 0.796
Tb3 Tb 0.196 0.134 0.580
Tl1 Tl 0.000 0.000 0.000
Os1 Os 0.000 0.315 0.500

# Tb2TlOs (PBE-GGA, relaxed)
# ΔE to the lowest computed polymorph, meV per atom: 161
# DOS(E_F), states/eV/atom: 0.7331
# DFT formation energy, eV/atom: -0.14
data_Tb2TlOs
_space_group_name_H-M_alt 'F m -3 m'
_space_group_IT_number 225
_space_group_name_Hall '-F 4 2 3'
_cell_length_a 7.195
_cell_length_b 7.195
_cell_length_c 7.195
_cell_angle_alpha 90.00
_cell_angle_beta 90.00
_cell_angle_gamma 90.00
loop_
_atom_site_label
_atom_site_type_symbol
_atom_site_fract_x
_atom_site_fract_y
_atom_site_fract_z
Tb1 Tb 0.250 0.250 0.250
Tl1 Tl 0.000 0.000 0.000
Os1 Os 0.000 0.000 0.500

# Tb6TlOs (PBE-GGA, relaxed)
# ΔE to the lowest computed polymorph, meV per atom: 68
# DOS(E_F), states/eV/atom: 1.3460
# DFT formation energy, eV/atom: 0.03
data_Tb6TlOs
_space_group_name_H-M_alt 'P -1'
_space_group_IT_number 2
_cell_length_a 6.917
_cell_length_b 6.965
_cell_length_c 7.517
_cell_angle_alpha 62.91
_cell_angle_beta 63.25
_cell_angle_gamma 60.24
loop_
_space_group_symop_operation_xyz
'x,y,z'
'-x,-y,-z'
loop_
_atom_site_label
_atom_site_type_symbol
_atom_site_fract_x
_atom_site_fract_y
_atom_site_fract_z
Tb1 Tb 0.038 0.416 0.257
Tb2 Tb 0.214 0.964 0.744
Tb3 Tb 0.415 0.789 0.256
Tl1 Tl 0.500 0.500 0.000
Os1 Os 0.000 0.000 0.500

# Tb4TlOs (PBE-GGA, relaxed)
# DOS(E_F), states/eV/atom: 1.0217
# DFT formation energy, eV/atom: -0.30
data_Tb4TlOs
_space_group_name_H-M_alt 'C 1 2/c 1'
_space_group_IT_number 15
_cell_length_a 8.797
_cell_length_b 13.161
_cell_length_c 6.183
_cell_angle_alpha 90.00
_cell_angle_beta 107.52
_cell_angle_gamma 90.00
loop_
_space_group_symop_operation_xyz
'x,y,z'
'-x,-y,-z'
'-x,y,-z+1/2'
'x,-y,z+1/2'
'x+1/2,y+1/2,z'
'-x+1/2,-y+1/2,-z'
'-x+1/2,y+1/2,-z+1/2'
'x+1/2,-y+1/2,z+1/2'
loop_
_atom_site_label
_atom_site_type_symbol
_atom_site_fract_x
_atom_site_fract_y
_atom_site_fract_z
Tb1 Tb 0.108 0.169 0.048
Tb2 Tb 0.224 0.425 0.391
Tl1 Tl 0.000 0.375 0.750
Os1 Os 0.000 0.000 0.250

# Tb6TlOs (PBE-GGA, relaxed)
# ΔE to the lowest computed polymorph, meV per atom: 0
# DOS(E_F), states/eV/atom: 1.2591
# DFT formation energy, eV/atom: -0.04
data_Tb6TlOs
_space_group_name_H-M_alt 'I 4/m m m'
_space_group_IT_number 139
_space_group_name_Hall '-I 4 2'
_cell_length_a 5.067
_cell_length_b 5.067
_cell_length_c 17.503
_cell_angle_alpha 90.00
_cell_angle_beta 90.00
_cell_angle_gamma 90.00
loop_
_atom_site_label
_atom_site_type_symbol
_atom_site_fract_x
_atom_site_fract_y
_atom_site_fract_z
Tb1 Tb 0.000 0.000 0.249
Tb2 Tb 0.000 0.500 0.102
Tl1 Tl 0.000 0.000 0.000
Os1 Os 0.000 0.000 0.500

# Tb5Tl2Os2 (PBE-GGA, relaxed)
# DOS(E_F), states/eV/atom: 0.6242
# DFT formation energy, eV/atom: -0.29
data_Tb5Tl2Os2
_space_group_name_H-M_alt 'C m c e'
_space_group_IT_number 64
_space_group_name_Hall '-C 2ac 2'
_cell_length_a 16.603
_cell_length_b 7.522
_cell_length_c 7.636
_cell_angle_alpha 90.00
_cell_angle_beta 90.00
_cell_angle_gamma 90.00
loop_
_atom_site_label
_atom_site_type_symbol
_atom_site_fract_x
_atom_site_fract_y
_atom_site_fract_z
Tb1 Tb 0.000 0.000 0.000
Tb2 Tb 0.118 0.180 0.322
Tl1 Tl 0.224 0.000 0.000
Os1 Os 0.000 0.114 0.620

# Tb2TlOs (PBE-GGA, relaxed)
# ΔE to the lowest computed polymorph, meV per atom: 188
# DOS(E_F), states/eV/atom: 0.5153
# DFT formation energy, eV/atom: -0.11
data_Tb2TlOs
_space_group_name_H-M_alt 'P 4/m m m'
_space_group_IT_number 123
_space_group_name_Hall '-P 4 2'
_cell_length_a 5.052
_cell_length_b 5.052
_cell_length_c 3.649
_cell_angle_alpha 90.00
_cell_angle_beta 90.00
_cell_angle_gamma 90.00
loop_
_atom_site_label
_atom_site_type_symbol
_atom_site_fract_x
_atom_site_fract_y
_atom_site_fract_z
Tb1 Tb 0.000 0.500 0.000
Tl1 Tl 0.000 0.000 0.500
Os1 Os 0.500 0.500 0.500